A relaxed structure of TlRh2Au, computed with PBEsol.

a = 5.5176 Å, b = 5.5176 Å, c = 5.5176 Å
α = 149.30°, β = 129.74°, γ = 60.06°
Sites, in units of the cell vectors:
1 Tl 0.0000 0.0000 0.0000
2 Rh 0.5194 0.5194 0.0000
3 Rh 0.7497 0.2497 0.5000
4 Au 0.2651 0.7651 0.5000

Results
- Calculated formation energy: 228 meV per atom

---

A relaxed structure of SbIrPt2, computed with PBEsol.

a = 4.8771 Å, b = 4.8771 Å, c = 4.8771 Å
α = 133.48°, β = 128.60°, γ = 71.82°
Sites, in units of the cell vectors:
1 Sb 0.0000 0.0000 0.0000
2 Ir 0.7665 0.2665 0.5000
3 Pt 0.2353 0.7353 0.5000
4 Pt 0.4994 0.4994 0.0000

Results
- E_form (uncorrected): 0.04 eV per atom